# Cs3Na2NiF9 GGA+U relaxed
# E_tot in eV per atom: -3.989
data_Cs3Na2NiF9
_chemical_formula_sum 'Cs3 Na2 Ni1 F9'
_space_group_name_H-M_alt 'P -3 m 1'
_space_group_IT_number 164
_space_group_name_Hall '-P 3 2"'
_cell_length_a 6.4461
_cell_length_b 6.4461
_cell_length_c 7.7949
_cell_angle_alpha 90.00
_cell_angle_beta 90.00
_cell_angle_gamma 120.00
loop_
_atom_site_label
_atom_site_type_symbol
_atom_site_fract_x
_atom_site_fract_y
_atom_site_fract_z
Cs1 Cs 0.0000 0.0000 0.0000
Cs2 Cs 0.3333 0.6667 0.7009
Na1 Na 0.3333 0.6667 0.1450
Ni1 Ni 0.0000 0.0000 0.5000
F1 F 0.0000 0.5000 0.0000
F2 F 0.1329 0.2658 0.3672